The following is a DFT calculation (PBE+U) of SrVSe2O8 after structural relaxation.

```
SrVSe2O8
1.0
6.442 -2.621 0.000
6.442 2.621 0.000
-1.893 0.000 5.289
Sr V Se O
1 1 2 8
Cartesian
0.000 0.000 0.000 Sr
5.495 0.000 2.644 V
1.190 0.000 3.533 Se
9.800 0.000 1.756 Se
4.592 1.367 1.516 O
1.587 0.000 1.908 O
6.399 1.367 3.773 O
4.250 0.000 3.908 O
6.741 0.000 1.381 O
4.592 -1.367 1.516 O
9.403 0.000 3.381 O
6.399 -1.367 3.773 O
```

Output
Final energy (eV/f.u.): -71.826